Record 1
Computed, not measured: a relaxed NaTl2CdPb2 crystal at the PBE level of DFT.

The structure in CIF format:
```
data_NaTl2CdPb2
_cell_length_a 4.945
_cell_length_b 10.261
_cell_length_c 6.895
_cell_angle_alpha 90.00
_cell_angle_beta 90.00
_cell_angle_gamma 90.00
_space_group_name_H-M_alt 'P 1'
_space_group_IT_number 1
loop_
_space_group_symop_operation_xyz
'x,y,z'
loop_
_atom_site_label
_atom_site_type_symbol
_atom_site_fract_x
_atom_site_fract_y
_atom_site_fract_z
Na1 Na 0.000 0.003 0.000
Na2 Na 0.000 0.997 0.500
Tl1 Tl 0.000 0.323 0.987
Tl2 Tl 0.000 0.677 0.487
Tl3 Tl 0.500 0.150 0.250
Tl4 Tl 0.500 0.850 0.750
Cd1 Cd 0.500 0.172 0.743
Cd2 Cd 0.500 0.828 0.243
Pb1 Pb 0.000 0.324 0.488
Pb2 Pb 0.000 0.676 0.988
Pb3 Pb 0.500 0.494 0.238
Pb4 Pb 0.500 0.506 0.738
```

Summary:
final energy: -2.438 eV per atom
magnetic moment: 0.00 μB per cell
energy of formation from the pure elements: -0.041 eV per atom

***

Record 2
Computed, not measured: a relaxed LaSbNO2 crystal at the PBE level of DFT.

The structure in CIF format:
```
data_LaSbNO2
_cell_length_a 4.440
_cell_length_b 4.440
_cell_length_c 4.690
_cell_angle_alpha 90.00
_cell_angle_beta 90.00
_cell_angle_gamma 90.00
_space_group_name_H-M_alt 'P 1'
_space_group_IT_number 1
loop_
_space_group_symop_operation_xyz
'x,y,z'
loop_
_atom_site_label
_atom_site_type_symbol
_atom_site_fract_x
_atom_site_fract_y
_atom_site_fract_z
La1 La 0.000 0.000 0.000
Sb1 Sb 0.500 0.500 0.500
N1 N 0.000 0.000 0.500
O1 O 0.000 0.500 0.000
O2 O 0.500 0.000 0.000
```

Summary:
final energy: -5.834 eV per atom
magnetic moment: 0.04 μB per cell
formation energy without anion corrections: -0.375 eV per atom

***

Record 3
Computed, not measured: a relaxed TiVMo6 crystal at the PBE level of DFT.

The structure in CIF format:
```
data_TiVMo6
_cell_length_a 4.440
_cell_length_b 4.440
_cell_length_c 7.566
_cell_angle_alpha 101.24
_cell_angle_beta 101.24
_cell_angle_gamma 72.99
_space_group_name_H-M_alt 'P 1'
_space_group_IT_number 1
loop_
_space_group_symop_operation_xyz
'x,y,z'
loop_
_atom_site_label
_atom_site_type_symbol
_atom_site_fract_x
_atom_site_fract_y
_atom_site_fract_z
Ti1 Ti 0.000 0.000 0.000
V1 V 0.500 0.500 0.500
Mo1 Mo 0.045 0.561 0.206
Mo2 Mo 0.137 0.137 0.419
Mo3 Mo 0.439 0.955 0.794
Mo4 Mo 0.561 0.045 0.206
Mo5 Mo 0.863 0.863 0.581
Mo6 Mo 0.955 0.439 0.794
```

Summary:
final energy: -9.628 eV per atom
magnetic moment: 0.00 μB per cell
ΔE to the lowest computed polymorph: 3.74 eV per formula unit
energy of formation from the pure elements: 0.622 eV per atom

***

Record 4
Computed, not measured: a relaxed RbZnSiAu2 crystal at the PBE level of DFT.

The structure in CIF format:
```
data_RbZnSiAu2
_cell_length_a 5.086
_cell_length_b 5.086
_cell_length_c 4.887
_cell_angle_alpha 90.00
_cell_angle_beta 90.00
_cell_angle_gamma 90.00
_space_group_name_H-M_alt 'P 1'
_space_group_IT_number 1
loop_
_space_group_symop_operation_xyz
'x,y,z'
loop_
_atom_site_label
_atom_site_type_symbol
_atom_site_fract_x
_atom_site_fract_y
_atom_site_fract_z
Rb1 Rb 0.000 0.000 0.000
Zn1 Zn 0.500 0.500 0.000
Si1 Si 0.500 0.500 0.500
Au1 Au 0.000 0.500 0.500
Au2 Au 0.500 0.000 0.500
```

Summary:
final energy: -2.916 eV per atom
magnetic moment: 0.00 μB per cell
formation energy without anion corrections: -0.072 eV per atom

***

Q: What is the magnetic moment in the fourth record?
A: 0.00 μB per cell